VASP calculation (PBE) on a relaxed structure of NdTmGaGe.

Structure (CIF):
```
data_NdTmGaGe
_chemical_formula_sum 'Nd4 Tm4 Ga4 Ge4'
_space_group_name_H-M_alt 'F -4 3 m'
_space_group_IT_number 216
_space_group_name_Hall 'F -4 2 3'
_cell_length_a 7.2318
_cell_length_b 7.2318
_cell_length_c 7.2318
_cell_angle_alpha 90.00
_cell_angle_beta 90.00
_cell_angle_gamma 90.00
loop_
_atom_site_label
_atom_site_type_symbol
_atom_site_fract_x
_atom_site_fract_y
_atom_site_fract_z
Nd1 Nd 0.0000 0.0000 0.0000
Tm1 Tm 0.0000 0.0000 0.5000
Ga1 Ga 0.2500 0.2500 0.7500
Ge1 Ge 0.2500 0.2500 0.2500
```

* offset from the most stable computed form: 198.7 meV/atom
* energy of formation from the pure elements: -0.55 eV per atom

---

VASP calculation (PBE) on a relaxed structure of Ce4Th3ScS8.

Structure (CIF):
```
data_Ce4Th3ScS8
_chemical_formula_sum 'Ce12 Th9 Sc3 S24'
_space_group_name_H-M_alt 'R -3 m'
_space_group_IT_number 166
_space_group_name_Hall '-R 3 2"'
_cell_length_a 8.0108
_cell_length_b 8.0108
_cell_length_c 19.4982
_cell_angle_alpha 90.00
_cell_angle_beta 90.00
_cell_angle_gamma 120.00
loop_
_atom_site_label
_atom_site_type_symbol
_atom_site_fract_x
_atom_site_fract_y
_atom_site_fract_z
Ce1 Ce 0.0000 0.0000 0.0000
Ce2 Ce 0.0000 0.5000 0.0000
Th1 Th 0.0000 0.5000 0.5000
Sc1 Sc 0.0000 0.0000 0.5000
S1 S 0.0000 0.0000 0.2512
S2 S 0.0145 0.5073 0.2473
```

* formation energy (no corrections): -2984 kJ/mol of formula units

---

VASP calculation (PBE) on a relaxed structure of Er5TmCd6.

Structure (CIF):
```
data_Er5TmCd6
_chemical_formula_sum 'Er5 Tm1 Cd6'
_space_group_name_H-M_alt 'P 1 2/m 1'
_space_group_IT_number 10
_cell_length_a 5.2358
_cell_length_b 7.4268
_cell_length_c 8.2936
_cell_angle_alpha 90.00
_cell_angle_beta 108.23
_cell_angle_gamma 90.00
loop_
_space_group_symop_operation_xyz
'x,y,z'
'-x,-y,-z'
'-x,y,-z'
'x,-y,z'
loop_
_atom_site_label
_atom_site_type_symbol
_atom_site_fract_x
_atom_site_fract_y
_atom_site_fract_z
Er1 Er 0.0000 0.0000 0.0000
Er2 Er 0.3331 0.0000 0.6660
Er3 Er 0.3336 0.5000 0.6672
Tm1 Tm 0.0000 0.5000 0.0000
Cd1 Cd 0.1664 0.2508 0.3329
Cd2 Cd 0.5000 0.2506 0.0000
```

* energy of formation from the pure elements: -0.32 eV per atom

---

VASP calculation (PBE) on a relaxed structure of PrPaOs.

Structure (CIF):
```
data_PrPaOs
_chemical_formula_sum 'Pr2 Pa2 Os2'
_space_group_name_H-M_alt 'I 4 m m'
_space_group_IT_number 107
_space_group_name_Hall 'I 4 -2'
_cell_length_a 3.5802
_cell_length_b 3.5802
_cell_length_c 11.3897
_cell_angle_alpha 90.00
_cell_angle_beta 90.00
_cell_angle_gamma 90.00
loop_
_atom_site_label
_atom_site_type_symbol
_atom_site_fract_x
_atom_site_fract_y
_atom_site_fract_z
Pr1 Pr 0.0000 0.0000 0.0000
Pa1 Pa 0.0000 0.0000 0.7034
Os1 Os 0.0000 0.0000 0.3056
```

* offset from the most stable computed form: 0.0 meV/atom
* energy of formation from the pure elements: -0.12 eV per atom

---

| no. | ρ (g/cm³) |
| --- | --- |
| 1 | 8.0 |
| 2 | 7.2 |
| 3 | 9.1 |
| 4 | 12.8 |